# PBE HgSeBr6, relaxed
# Raw total energy   -14.94 eV for the cell shown
# Space-group type   R-3
# Raw formation energy   -0.1396 eV/atom
data_HgSeBr6
_cell_length_a 6.883
_cell_length_b 6.883
_cell_length_c 7.313
_cell_angle_alpha 61.92
_cell_angle_beta 61.92
_cell_angle_gamma 60.00
_space_group_name_H-M_alt 'P 1'
_space_group_IT_number 1
loop_
_space_group_symop_operation_xyz
'x,y,z'
loop_
_atom_site_label
_atom_site_type_symbol
_atom_site_fract_x
_atom_site_fract_y
_atom_site_fract_z
_atom_site_occupancy
Hg1 Hg 0.500 0.500 0.500 1
Se1 Se 0.000 0.000 0.000 1
Br1 Br 0.076 0.397 0.759 1
Br2 Br 0.768 0.076 0.759 1
Br3 Br 0.603 0.232 0.241 1
Br4 Br 0.232 0.924 0.241 1
Br5 Br 0.924 0.603 0.241 1
Br6 Br 0.397 0.768 0.759 1